DyZrCd3: optimized geometry, PBE-GGA.

The structure in POSCAR format:
```
DyZrCd3
1.0
7.2266 0.0000 0.0000
-3.6133 6.2584 0.0000
0.0000 0.0000 5.7237
Dy Zr Cd
2 2 6
direct
0.3333 0.6667 0.2500
0.6667 0.3333 0.7500
0.0000 0.0000 0.0000
0.0000 0.0000 0.5000
0.2029 0.4057 0.7500
0.2029 0.7971 0.7500
0.4057 0.2029 0.2500
0.5943 0.7971 0.7500
0.7971 0.2029 0.2500
0.7971 0.5943 0.2500
```

Properties
**Symmetry**: P6_3/mmc
**Total energy**: -0.115 Ha/atom
**Mass density**: 7.6 g/cm3
**Formation enthalpy at 0 K**: 0.2 eV per formula unit


CaCoSb2I: optimized geometry, PBE-GGA.

The structure in POSCAR format:
```
CaCoSb2I
1.0
5.8051 0.0000 0.0000
0.0000 5.8051 0.0000
0.0000 0.0000 5.7326
Ca Co Sb I
1 1 2 1
direct
0.0000 0.0000 0.0000
0.5000 0.5000 0.5000
0.0000 0.5000 0.0000
0.5000 0.0000 0.0000
0.0000 0.0000 0.5000
```

Properties
**Formation energy (no corrections)**: 979 meV per atom
**Symmetry**: P4/mmm
**Total energy**: -0.103 Ha/atom
**Mass density**: 4.0 g/cm3


BeAlSi2: optimized geometry, PBE-GGA.

The structure in POSCAR format:
```
BeAlSi2
1.0
1.3400 0.7737 8.5773
-1.3400 0.7737 8.5773
0.0000 -1.5473 8.5773
Be Al Si
1 1 2
direct
0.0000 0.0000 0.0000
0.5000 0.5000 0.5000
0.2602 0.2602 0.2602
0.7398 0.7398 0.7398
```

Properties
**Formation energy (no corrections)**: 376 meV per atom
**Symmetry**: R-3m
**Total energy**: -0.154 Ha/atom
**Mass density**: 2.9 g/cm3


YbGa6: optimized geometry, PBE-GGA.

The structure in POSCAR format:
```
YbGa6
1.0
-3.5221 3.5221 3.5221
3.5221 -3.5221 3.5221
3.5221 3.5221 -3.5221
Yb Ga
1 6
direct
0.0000 0.0000 0.0000
0.2500 0.5000 0.7500
0.2500 0.7500 0.5000
0.5000 0.2500 0.7500
0.5000 0.7500 0.2500
0.7500 0.2500 0.5000
0.7500 0.5000 0.2500
```

Properties
**Symmetry**: Im-3m
**Total energy**: -0.102 Ha/atom
**Mass density**: 5.6 g/cm3
**Formation enthalpy at 0 K**: 0.3 eV per formula unit


B2H6Au: optimized geometry, PBE-GGA.

The structure in POSCAR format:
```
B2H6Au
1.0
0.0000 3.0640 3.0640
3.0640 0.0000 3.0640
3.0640 3.0640 0.0000
B H Au
2 6 1
direct
0.2500 0.2500 0.2500
0.7500 0.7500 0.7500
0.1905 0.1905 0.8095
0.1905 0.8095 0.1905
0.1905 0.8095 0.8095
0.8095 0.1905 0.1905
0.8095 0.1905 0.8095
0.8095 0.8095 0.1905
0.5000 0.5000 0.5000
```

Properties
**Symmetry**: Fm-3m
**Total energy**: -0.100 Ha/atom
**Mass density**: 6.5 g/cm3


KTbTe2: optimized geometry, PBE-GGA.

The structure in POSCAR format:
```
KTbTe2
1.0
2.2445 1.2958 8.3917
-2.2445 1.2958 8.3917
0.0000 -2.5917 8.3917
K Tb Te
1 1 2
direct
0.0000 0.0000 0.0000
0.8312 0.8312 0.8312
0.2340 0.2340 0.2340
0.4289 0.4289 0.4289
```

Properties
**Formation energy (no corrections)**: -1388 meV per atom
**Symmetry**: R3m
**Total energy**: -0.161 Ha/atom
**Mass density**: 5.1 g/cm3


Ga2CuSbC: optimized geometry, PBE-GGA.

The structure in POSCAR format:
```
Ga2CuSbC
1.0
4.5167 0.0000 0.0000
0.0000 4.5167 0.0000
0.0000 0.0000 5.1803
Ga Cu Sb C
2 1 1 1
direct
0.0000 0.5000 0.0000
0.5000 0.0000 0.0000
0.0000 0.0000 0.0000
0.0000 0.0000 0.5000
0.5000 0.5000 0.5000
```

Properties
**Formation energy (no corrections)**: 1370 meV per atom
**Symmetry**: P4/mmm
**Total energy**: -0.122 Ha/atom
**Mass density**: 5.3 g/cm3


NdErZn: optimized geometry, PBE-GGA.

The structure in POSCAR format:
```
NdErZn
1.0
-2.4993 2.4993 3.5421
2.4993 -2.4993 3.5421
2.4993 2.4993 -3.5421
Nd Er Zn
1 1 1
direct
0.0000 0.0000 0.0000
0.5000 0.5000 0.0000
0.2500 0.7500 0.5000
```

Properties
**Symmetry**: I-4m2
**Total energy**: -0.129 Ha/atom
**Mass density**: 7.1 g/cm3
**Formation enthalpy at 0 K**: 0.1 eV per formula unit